(1)
Computed, not measured: a relaxed Nd3ZnSi2Pd9 crystal at the GGA-PBE level of DFT.

Lattice parameters (Å, degrees): 5.827 5.827 10.341 90.00 90.00 120.00
Fractional coordinates of all 15 atoms:
Pd 0.838 0.676 0.689
Pd 0.000 0.500 0.000
Pd 0.324 0.162 0.689
Pd 0.162 0.324 0.311
Pd 0.676 0.838 0.311
Pd 0.838 0.162 0.689
Pd 0.500 0.000 0.000
Pd 0.162 0.838 0.311
Pd 0.500 0.500 0.000
Zn 0.000 0.000 0.500
Nd 0.333 0.667 0.605
Nd 0.667 0.333 0.395
Nd 0.000 0.000 0.000
Si 0.333 0.667 0.161
Si 0.667 0.333 0.839

- symmetry = P-3m1
- calculated volume (Å³ per atom) = 20.27
- DOS at the Fermi energy (states/eV per cell) = 4.66
- formation energy from raw total energies (eV per atom) = -0.6363

(2)
Computed, not measured: a relaxed LaFeSeN2 crystal at the GGA-PBE level of DFT.

Lattice parameters (Å, degrees): 4.035 4.035 4.718 90.00 90.00 90.00
Last column: magnetic moment on the atom in μB.
Fractional coordinates of all 5 atoms:
Se 0.000 0.000 0.500  0.00
N 0.500 0.000 0.000  0.14
N 0.000 0.500 0.000  0.14
Fe 0.000 0.000 0.000  2.43
La 0.500 0.500 0.500  0.04

- symmetry = P4/mmm
- calculated volume (Å³ per atom) = 15.37
- DOS at the Fermi energy (states/eV per cell) = 3.63
- formation energy from raw total energies (eV per atom) = -0.0813

(3)
Computed, not measured: a relaxed TiPbAu2 crystal at the GGA-PBE level of DFT.

Lattice parameters (Å, degrees): 3.229 3.229 7.935 90.00 90.00 90.00
Last column: magnetic moment on the atom in μB.
Fractional coordinates of all 4 atoms:
Pb 0.500 0.500 0.500  0.00
Au 0.000 0.000 0.207  0.02
Au 0.000 0.000 0.793  0.02
Ti 0.500 0.500 0.000  0.63

- symmetry = P4/mmm
- calculated volume (Å³ per atom) = 20.69
- DOS at the Fermi energy (states/eV per cell) = 2.82
- energy relative to the elements (meV/atom) = -214

(4)
Computed, not measured: a relaxed TiZn3Au crystal at the GGA-PBE level of DFT.

Lattice parameters (Å, degrees): 4.758 4.758 4.758 90.00 90.00 90.00
Fractional coordinates of all 5 atoms:
Ti 0.500 0.500 0.500
Zn 0.000 0.500 0.000
Zn 0.500 0.000 0.000
Zn 0.000 0.000 0.500
Au 0.000 0.000 0.000

- symmetry = Pm-3m
- calculated volume (Å³ per atom) = 21.55
- DOS at the Fermi energy (states/eV per cell) = 6.39
- ΔE to the lowest computed polymorph (eV/atom) = 0.6727
- energy relative to the elements (meV/atom) = 556

(5)
Computed, not measured: a relaxed BaMo2Pb crystal at the GGA-PBE level of DFT.

Lattice parameters (Å, degrees): 8.357 8.357 6.652 51.09 51.09 90.00
Last column: magnetic moment on the atom in μB.
Fractional coordinates of all 8 atoms:
Mo 0.077 0.625 0.250  0.55
Mo 0.673 0.125 0.250  0.57
Mo 0.375 0.327 0.750  0.61
Mo 0.875 0.923 0.750  0.58
Ba 0.250 0.750 0.500  0.02
Ba 0.500 0.500 0.000  0.02
Pb 0.750 0.250 0.500  -0.03
Pb 0.000 0.000 0.000  -0.03

- symmetry = I-42d
- calculated volume (Å³ per atom) = 26.66
- DOS at the Fermi energy (states/eV per cell) = 17.22
- energy relative to the elements (meV/atom) = 1573

(6)
Computed, not measured: a relaxed GaSnGe2Mo crystal at the GGA-PBE level of DFT.

Lattice parameters (Å, degrees): 5.240 5.152 5.240 90.00 90.00 90.00
Last column: magnetic moment on the atom in μB.
Fractional coordinates of all 5 atoms:
Ge 0.500 0.000 0.000  -0.11
Ge 0.000 0.000 0.500  -0.09
Ga 0.000 0.500 0.000  0.01
Sn 0.000 0.000 0.000  0.01
Mo 0.500 0.500 0.500  3.58

- symmetry = P4/mmm
- calculated volume (Å³ per atom) = 28.29
- DOS at the Fermi energy (states/eV per cell) = 3.51
- energy relative to the elements (meV/atom) = 1447

(7)
Computed, not measured: a relaxed EuDyPt2 crystal at the GGA-PBE level of DFT.

Lattice parameters (Å, degrees): 3.518 3.518 7.197 90.00 90.00 90.00
Last column: magnetic moment on the atom in μB.
Fractional coordinates of all 4 atoms:
Eu 0.500 0.500 0.500  6.79
Pt 0.000 0.000 0.776  -0.01
Pt 0.000 0.000 0.224  -0.01
Dy 0.500 0.500 0.000  0.04

- symmetry = P4/mmm
- calculated volume (Å³ per atom) = 22.27
- DOS at the Fermi energy (states/eV per cell) = 10.65
- ΔE to the lowest computed polymorph (eV/atom) = 0.0000
- energy relative to the elements (meV/atom) = -1098

(8)
Computed, not measured: a relaxed Zr2AlPt crystal at the GGA-PBE level of DFT.

Lattice parameters (Å, degrees): 3.186 4.057 5.819 90.00 90.00 90.00
Fractional coordinates of all 4 atoms:
Zr 0.000 0.000 0.504
Zr 0.000 0.000 0.996
Al 0.500 0.500 0.250
Pt 0.500 0.500 0.750

- symmetry = Pmmm
- calculated volume (Å³ per atom) = 18.80
- DOS at the Fermi energy (states/eV per cell) = 3.06
- energy relative to the elements (meV/atom) = -690